DFT (PBE) results for an optimized crystal structure of Cr3Ir.

Computed properties:
The total energy comes out at -9.30 eV per atom. The symmetry is No. 65. The formation energy from the elements comes out at 0.133 eV/atom. As for the magnetization: 0.0002 μB per atom.

a = 2.587 Å, b = 2.587 Å, c = 8.157 Å
α = 90.00°, β = 90.00°, γ = 112.48°
Fractional coordinates of all 4 atoms:
Cr  0.000  0.000  0.000
Cr  0.500  0.500  0.234
Cr  0.500  0.500  0.766
Ir  0.000  0.000  0.500